DFT (GGA-PBE) results for a relaxed structure of Pu2Cu3O8.

Structure (CIF):
```
data_Pu2Cu3O8
_symmetry_space_group_name_H-M 'C 1 2/c 1'
_symmetry_Int_Tables_number 15
_cell_length_a 11.825
_cell_length_b 5.180
_cell_length_c 12.215
_cell_angle_alpha 90.00
_cell_angle_beta 90.08
_cell_angle_gamma 90.00
loop_
_symmetry_equiv_pos_as_xyz
'x,y,z'
'-x,-y,-z'
'-x,y,-z+1/2'
'x,-y,z+1/2'
'x+1/2,y+1/2,z'
'-x+1/2,-y+1/2,-z'
'-x+1/2,y+1/2,-z+1/2'
'x+1/2,-y+1/2,z+1/2'
loop_
_atom_site_label
_atom_site_type_symbol
_atom_site_fract_x
_atom_site_fract_y
_atom_site_fract_z
_atom_site_occupancy
Pu1 Pu 0.250 0.249 0.140 1
Cu1 Cu 0.000 0.499 0.250 1
Cu2 Cu 0.120 0.303 0.500 1
O1 O 0.112 0.494 0.134 1
O2 O 0.112 0.495 0.866 1
O3 O 0.171 0.001 0.750 1
O4 O 0.178 0.042 0.000 1
```

Values from the calculation:
theoretical density = 7.16 g/cm³
DOS at the Fermi energy = 28.6 states/eV per cell
energy relative to the elements, uncorrected = -2093 kJ/mol of formula units